No. 1
Below is a relaxed LiTe2H2 crystal, with properties calculated at the GGA-PBE level.

Output
Energy above the most stable polymorph in this dataset = 433.4 meV per atom
ρ = 5.16 g/cm³
VASP energy = -26.80 eV/cell

Structure (CIF):
```
data_LiTe2H2
_cell_length_a 3.478
_cell_length_b 3.478
_cell_length_c 14.051
_cell_angle_alpha 90.00
_cell_angle_beta 90.00
_cell_angle_gamma 90.00
_symmetry_space_group_name_H-M 'I 4/m m m'
_symmetry_Int_Tables_number 139
_symmetry_space_group_name_Hall '-I 4 2'
loop_
_atom_site_label
_atom_site_type_symbol
_atom_site_fract_x
_atom_site_fract_y
_atom_site_fract_z
Li1 Li 0.000 0.000 0.000
Te1 Te 0.000 0.000 0.358
H1 H 0.000 0.500 0.250
```

=====

No. 2
Below is a relaxed Pr3HoErTm crystal, with properties calculated at the GGA-PBE level.

Output
ρ = 7.68 g/cm³
ΔH_f (0 K) = 0.025 eV per atom
VASP energy = -111.20 eV/cell

Structure (CIF):
```
data_Pr3HoErTm
_cell_length_a 5.098
_cell_length_b 15.340
_cell_length_c 10.223
_cell_angle_alpha 90.00
_cell_angle_beta 90.00
_cell_angle_gamma 90.00
_symmetry_space_group_name_H-M 'C m c m'
_symmetry_Int_Tables_number 63
_symmetry_space_group_name_Hall '-C 2c 2'
loop_
_atom_site_label
_atom_site_type_symbol
_atom_site_fract_x
_atom_site_fract_y
_atom_site_fract_z
Pr1 Pr 0.000 0.165 0.000
Pr2 Pr 0.000 0.334 0.250
Ho1 Ho 0.000 0.500 0.000
Er1 Er 0.000 0.002 0.250
Tm1 Tm 0.000 0.336 0.750
```

=====

No. 3
Below is a relaxed ZrTc crystal, with properties calculated at the GGA-PBE level.

Output
ρ = 6.08 g/cm³
ΔH_f (0 K) = 1.719 eV per atom
VASP energy = -61.91 eV/cell

Structure (CIF):
```
data_ZrTc
_cell_length_a 5.914
_cell_length_b 5.914
_cell_length_c 5.914
_cell_angle_alpha 90.00
_cell_angle_beta 90.00
_cell_angle_gamma 90.00
_symmetry_space_group_name_H-M 'F -4 3 m'
_symmetry_Int_Tables_number 216
_symmetry_space_group_name_Hall 'F -4 2 3'
loop_
_atom_site_label
_atom_site_type_symbol
_atom_site_fract_x
_atom_site_fract_y
_atom_site_fract_z
Zr1 Zr 0.000 0.000 0.000
Tc1 Tc 0.250 0.250 0.250
```

=====

No. 4
Below is a relaxed Tb6Pd2Pt crystal, with properties calculated at the GGA-PBE level.

Output
Energy above the most stable polymorph in this dataset = 0.0 meV per atom
ρ = 9.86 g/cm³
ΔH_f (0 K) = -0.664 eV per atom
VASP energy = -200.75 eV/cell

Structure (CIF):
```
data_Tb6Pd2Pt
_cell_length_a 9.584
_cell_length_b 9.690
_cell_length_c 9.878
_cell_angle_alpha 90.00
_cell_angle_beta 90.00
_cell_angle_gamma 90.00
_symmetry_space_group_name_H-M 'I m m m'
_symmetry_Int_Tables_number 71
_symmetry_space_group_name_Hall '-I 2 2'
loop_
_atom_site_label
_atom_site_type_symbol
_atom_site_fract_x
_atom_site_fract_y
_atom_site_fract_z
Tb1 Tb 0.000 0.184 0.246
Tb2 Tb 0.203 0.500 0.332
Tb3 Tb 0.234 0.327 0.000
Pd1 Pd 0.000 0.342 0.500
Pd2 Pd 0.000 0.500 0.133
Pt1 Pt 0.000 0.000 0.000
Pt2 Pt 0.000 0.000 0.500
```

=====

No. 5
Below is a relaxed InSb2PbAu4 crystal, with properties calculated at the GGA-PBE level.

Output
ρ = 11.54 g/cm³
Energy relative to the elements, uncorrected = -0.0756 eV per atom
VASP energy = -113.62 eV/cell

Structure (CIF):
```
data_InSb2PbAu4
_cell_length_a 8.839
_cell_length_b 11.524
_cell_length_c 7.649
_cell_angle_alpha 90.00
_cell_angle_beta 90.00
_cell_angle_gamma 90.00
_symmetry_space_group_name_H-M 'F m m 2'
_symmetry_Int_Tables_number 42
_symmetry_space_group_name_Hall 'F 2 -2'
loop_
_atom_site_label
_atom_site_type_symbol
_atom_site_fract_x
_atom_site_fract_y
_atom_site_fract_z
In1 In 0.000 0.000 0.000
Sb1 Sb 0.250 0.250 0.252
Pb1 Pb 0.000 0.000 0.501
Au1 Au 0.000 0.244 0.003
Au2 Au 0.250 0.000 0.251
```

=====

No. 6
Below is a relaxed Ca3Cd4In2Hg2 crystal, with properties calculated at the GGA-PBE level.

Output
ρ = 6.74 g/cm³
ΔH_f (0 K) = -0.302 eV per atom
VASP energy = -38.13 eV/cell

Structure (CIF):
```
data_Ca3Cd4In2Hg2
_cell_length_a 4.477
_cell_length_b 4.477
_cell_length_c 29.505
_cell_angle_alpha 90.00
_cell_angle_beta 90.00
_cell_angle_gamma 90.00
_symmetry_space_group_name_H-M 'I 4/m m m'
_symmetry_Int_Tables_number 139
_symmetry_space_group_name_Hall '-I 4 2'
loop_
_atom_site_label
_atom_site_type_symbol
_atom_site_fract_x
_atom_site_fract_y
_atom_site_fract_z
Ca1 Ca 0.000 0.000 0.000
Ca2 Ca 0.000 0.000 0.206
Cd1 Cd 0.000 0.500 0.114
In1 In 0.000 0.000 0.451
Hg1 Hg 0.000 0.000 0.313
```

=====

No. 7
Below is a relaxed NaLiPrAl crystal, with properties calculated at the GGA-PBE level.

Output
ρ = 3.31 g/cm³
ΔH_f (0 K) = -0.018 eV per atom
VASP energy = -47.30 eV/cell

Structure (CIF):
```
data_NaLiPrAl
_cell_length_a 7.346
_cell_length_b 7.346
_cell_length_c 7.346
_cell_angle_alpha 90.00
_cell_angle_beta 90.00
_cell_angle_gamma 90.00
_symmetry_space_group_name_H-M 'F -4 3 m'
_symmetry_Int_Tables_number 216
_symmetry_space_group_name_Hall 'F -4 2 3'
loop_
_atom_site_label
_atom_site_type_symbol
_atom_site_fract_x
_atom_site_fract_y
_atom_site_fract_z
Na1 Na 0.000 0.000 0.000
Li1 Li 0.250 0.250 0.250
Pr1 Pr 0.250 0.250 0.750
Al1 Al 0.000 0.000 0.500
```

=====

No. 8
Below is a relaxed YTlBi crystal, with properties calculated at the GGA-PBE level.

Output
Energy above the most stable polymorph in this dataset = 0.0 meV per atom
ρ = 8.82 g/cm³
ΔH_f (0 K) = -0.211 eV per atom
VASP energy = -53.38 eV/cell

Structure (CIF):
```
data_YTlBi
_cell_length_a 3.462
_cell_length_b 5.744
_cell_length_c 19.013
_cell_angle_alpha 90.00
_cell_angle_beta 90.00
_cell_angle_gamma 90.00
_symmetry_space_group_name_H-M 'I m m m'
_symmetry_Int_Tables_number 71
_symmetry_space_group_name_Hall '-I 2 2'
loop_
_atom_site_label
_atom_site_type_symbol
_atom_site_fract_x
_atom_site_fract_y
_atom_site_fract_z
Y1 Y 0.000 0.000 0.171
Tl1 Tl 0.000 0.249 0.000
Bi1 Bi 0.000 0.000 0.338
```

=====

Please write out number 6 again, unchanged.
Below is a relaxed Ca3Cd4In2Hg2 crystal, with properties calculated at the GGA-PBE level.

Output
ρ = 6.74 g/cm³
ΔH_f (0 K) = -0.302 eV per atom
VASP energy = -38.13 eV/cell

Structure (CIF):
```
data_Ca3Cd4In2Hg2
_cell_length_a 4.477
_cell_length_b 4.477
_cell_length_c 29.505
_cell_angle_alpha 90.00
_cell_angle_beta 90.00
_cell_angle_gamma 90.00
_symmetry_space_group_name_H-M 'I 4/m m m'
_symmetry_Int_Tables_number 139
_symmetry_space_group_name_Hall '-I 4 2'
loop_
_atom_site_label
_atom_site_type_symbol
_atom_site_fract_x
_atom_site_fract_y
_atom_site_fract_z
Ca1 Ca 0.000 0.000 0.000
Ca2 Ca 0.000 0.000 0.206
Cd1 Cd 0.000 0.500 0.114
In1 In 0.000 0.000 0.451
Hg1 Hg 0.000 0.000 0.313
```

=====

- Number 7 is which compound?
  NaLiPrAl

=====

- Among the records above, which one has the lowest ρ?
  NaLiPrAl

=====

- Among the records above, which one has the highest VASP energy?
  LiTe2H2